Below is an optimized crystal structure of KVSeO5, with properties calculated at the GGA+U level.

Unit cell a=5.736 b=5.736 c=7.176 alpha=99.04 beta=99.04 gamma=106.10
Fractional positions:
K  0.160  0.840  0.750
K  0.840  0.160  0.250
V  0.500  0.500  0.000
V  0.500  0.500  0.500
Se  0.180  0.820  0.250
Se  0.820  0.180  0.750
O  0.172  0.318  0.965
O  0.193  0.606  0.391
O  0.318  0.172  0.465
O  0.394  0.807  0.109
O  0.446  0.554  0.750
O  0.554  0.446  0.250
O  0.606  0.193  0.891
O  0.682  0.828  0.535
O  0.807  0.394  0.609
O  0.828  0.682  0.035

Results
final energy	-5.902	eV per atom
mass density	3.8	g/cm³